A geometry-optimized PRhWO2 structure. Source: Alexandria via LeMat-Bulk, functional PBE+U.

Unit cell a=3.838 b=3.838 c=5.072 alpha=90.00 beta=90.00 gamma=90.00
Fractional positions:
P  0.000  0.000  0.000
Rh  0.000  0.000  0.500
W  0.500  0.500  0.000
O  0.000  0.500  0.500
O  0.500  0.000  0.500

Computed properties:
- space-group type = No. 123
- offset from the most stable computed form (meV/atom) = 732